PBE-GGA CuTcRu, optimized geometry; size of the total moment = 0.21 Bohr magnetons per cell; crystal system = orthorhombic; energy = -22.66 eV for the cell shown; offset from the most stable computed form = 0.754 eV/f.u.; space group = No. 42; density = 10.33 g/cm3
1.0
-4.924 4.454 2.442
-6.234 2.687 0.981
-0.078 -0.397 2.609
Tc Ru Cu
1 1 1
Direct
0.331 0.331 0.669
0.669 0.669 0.331
0.000 0.000 0.000